Crystalline Ho4CoOs at its relaxed geometry. Source: Alexandria via LeMat-Bulk, functional PBE.

Computed properties:
Its formation energy from the elements is -136 kJ/mol of formula units. The excess energy over the best structure of this formula in the dataset comes out at 0.000 eV per atom.

a b c (Å): 7.7817 7.7817 6.0980
angles (deg): 108.42 108.42 111.14
Last column: nearest neighbours and their distance in Å.
Atoms (fractional coordinates):
Ho 0.0493 0.6911 0.9033  2 Co 2.90-2.94, 2 Os 2.90-2.97
Ho 0.2418 0.3634 0.7265  2 Co 2.74-2.86, 2 Os 2.81-3.01
Ho 0.3089 0.9507 0.5967  2 Co 2.90-2.94, 2 Os 2.90-2.97
Ho 0.3634 0.2418 0.2265  2 Co 2.74-2.86, 2 Os 2.81-3.01
Ho 0.6366 0.7582 0.7735  2 Co 2.74-2.86, 2 Os 2.81-3.01
Ho 0.6911 0.0493 0.4033  2 Co 2.90-2.94, 2 Os 2.90-2.97
Ho 0.7582 0.6366 0.2735  2 Co 2.74-2.86, 2 Os 2.81-3.01
Ho 0.9507 0.3089 0.0967  2 Co 2.90-2.94, 2 Os 2.90-2.97
Co 0.9996 0.0004 0.2500  8 Ho 2.74-2.94, 2 Co 3.05
Co 0.0004 0.9996 0.7500  8 Ho 2.74-2.94, 2 Co 3.05
Os 0.3655 0.6345 0.2500  8 Ho 2.81-3.01
Os 0.6345 0.3655 0.7500  8 Ho 2.81-3.01